Computed, not measured: a relaxed CaPuMn2O6 crystal at the PBE+U level of DFT.

Output
DOS at the Fermi energy in states/eV/f.u.: 5.58
Calculated total energy in hartree per atom: -0.310
Symmetry: R3 (146)
ρ in kg/m3: 6109

```
10
Lattice="2.776 1.603 4.989 -2.776 1.603 4.989 0.000 -3.206 4.989" Properties=species:S:1:pos:R:3 pbc="T T T"
Ca 0.000 0.000 0.000
Pu 0.000 0.000 7.279
Mn 0.000 0.000 4.186
Mn 0.000 0.000 11.846
O -1.592 -0.142 5.910
O -1.011 -1.594 8.285
O 0.919 -1.308 5.910
O -0.875 1.672 8.285
O 0.673 1.449 5.910
O 1.886 -0.078 8.285
```